Arrangement P

# GGA-PBE YTmHg6, relaxed
data_YTmHg6
_cell_length_a 6.5840
_cell_length_b 6.5840
_cell_length_c 4.9850
_cell_angle_alpha 90.00
_cell_angle_beta 90.00
_cell_angle_gamma 120.00
_space_group_name_H-M_alt 'P -6 m 2'
_space_group_IT_number 187
_space_group_name_Hall 'P -6 2'
loop_
_atom_site_label
_atom_site_type_symbol
_atom_site_fract_x
_atom_site_fract_y
_atom_site_fract_z
Y1 Y 0.0000 0.0000 0.0000
Tm1 Tm 0.3333 0.6667 0.5000
Hg1 Hg 0.0017 0.5009 0.0000
Hg2 Hg 0.3346 0.1673 0.5000
# total moment: 0.00 Bohr magnetons per cell

---

Arrangement Q

# GGA-PBE YTmHg6, relaxed
data_YTmHg6
_cell_length_a 4.858
_cell_length_b 7.058
_cell_length_c 10.884
_cell_angle_alpha 90.00
_cell_angle_beta 90.00
_cell_angle_gamma 90.00
_space_group_name_H-M_alt 'A m m 2'
_space_group_IT_number 38
loop_
_space_group_symop_operation_xyz
'x,y,z'
'-x,-y,z'
'-x,y,z'
'x,-y,z'
'x,y+1/2,z+1/2'
'-x,-y+1/2,z+1/2'
'-x,y+1/2,z+1/2'
'x,-y+1/2,z+1/2'
loop_
_atom_site_label
_atom_site_type_symbol
_atom_site_fract_x
_atom_site_fract_y
_atom_site_fract_z
Y1 Y 0.000 0.000 0.000
Tm1 Tm 0.500 0.000 0.283
Hg1 Hg 0.000 0.000 0.465
Hg2 Hg 0.000 0.231 0.735
Hg3 Hg 0.500 0.000 0.816
Hg4 Hg 0.500 0.228 0.550
# total moment: 0.00 Bohr magnetons per cell

---

Most stable structure: arrangement P

---

Arrangement P

# GGA-PBE YTmHg, relaxed
data_YTmHg
_cell_length_a 7.160
_cell_length_b 7.160
_cell_length_c 7.160
_cell_angle_alpha 90.00
_cell_angle_beta 90.00
_cell_angle_gamma 90.00
_space_group_name_H-M_alt 'F -4 3 m'
_space_group_IT_number 216
_space_group_name_Hall 'F -4 2 3'
loop_
_atom_site_label
_atom_site_type_symbol
_atom_site_fract_x
_atom_site_fract_y
_atom_site_fract_z
Y1 Y 0.000 0.000 0.000
Tm1 Tm 0.000 0.000 0.500
Hg1 Hg 0.250 0.250 0.750
# total moment: 0.04 Bohr magnetons per cell

---

Arrangement Q

# GGA-PBE YTmHg, relaxed
data_YTmHg
_cell_length_a 7.098
_cell_length_b 5.030
_cell_length_c 9.110
_cell_angle_alpha 90.00
_cell_angle_beta 90.00
_cell_angle_gamma 90.00
_space_group_name_H-M_alt 'P n m a'
_space_group_IT_number 62
loop_
_space_group_symop_operation_xyz
'x,y,z'
'-x,-y,-z'
'-x+1/2,-y,z+1/2'
'x+1/2,y,-z+1/2'
'x+1/2,-y+1/2,-z+1/2'
'-x+1/2,y+1/2,z+1/2'
'-x,y+1/2,-z'
'x,-y+1/2,z'
loop_
_atom_site_label
_atom_site_type_symbol
_atom_site_fract_x
_atom_site_fract_y
_atom_site_fract_z
Y1 Y 0.017 0.250 0.193
Tm1 Tm 0.166 0.250 0.574
Hg1 Hg 0.243 0.250 0.898
# total moment: 0.01 Bohr magnetons per cell

---

Most stable structure: arrangement Q

---

Arrangement P

# GGA-PBE ZrUHg, relaxed
data_ZrUHg
_cell_length_a 6.949
_cell_length_b 6.949
_cell_length_c 6.949
_cell_angle_alpha 90.00
_cell_angle_beta 90.00
_cell_angle_gamma 90.00
_space_group_name_H-M_alt 'F -4 3 m'
_space_group_IT_number 216
_space_group_name_Hall 'F -4 2 3'
loop_
_atom_site_label
_atom_site_type_symbol
_atom_site_fract_x
_atom_site_fract_y
_atom_site_fract_z
Zr1 Zr 0.000 0.000 0.000
U1 U 0.250 0.250 0.750
Hg1 Hg 0.000 0.000 0.500
# total moment: 16.19 Bohr magnetons per cell

---

Arrangement Q

# GGA-PBE ZrUHg, relaxed
data_ZrUHg
_cell_length_a 6.990
_cell_length_b 6.990
_cell_length_c 6.990
_cell_angle_alpha 90.00
_cell_angle_beta 90.00
_cell_angle_gamma 90.00
_space_group_name_H-M_alt 'F -4 3 m'
_space_group_IT_number 216
_space_group_name_Hall 'F -4 2 3'
loop_
_atom_site_label
_atom_site_type_symbol
_atom_site_fract_x
_atom_site_fract_y
_atom_site_fract_z
Zr1 Zr 0.000 0.000 0.000
U1 U 0.000 0.000 0.500
Hg1 Hg 0.250 0.250 0.750
# total moment: 16.44 Bohr magnetons per cell

---

Most stable structure: arrangement Q